ZrCrB | PBE | optimized geometry

abc: 9.295 3.247 5.792
angles: 90.00 112.81 90.00
Space group Cm (No. 8)
Asymmetric unit:
Zr 0.000 0.000 0.000 (multiplicity 2)
Zr 0.209 0.000 0.619 (multiplicity 2)
Cr 0.299 0.500 0.328 (multiplicity 2)
Cr 0.476 0.000 0.466 (multiplicity 2)
B 0.202 0.500 0.931 (multiplicity 2)
B 0.297 0.000 0.063 (multiplicity 2)

Output
* E above lowest polymorph: 0.254 eV/atom
* calculated formation energy: -0.188 eV per atom

---

Cs2HgHCl | PBE | optimized geometry

abc: 5.899 5.899 5.183
angles: 90.00 90.00 90.00
Space group P4/mmm (No. 123)
Asymmetric unit:
Cs 0.000 0.500 0.000 (multiplicity 2)
Hg 0.000 0.000 0.500 (multiplicity 1)
H 0.000 0.000 0.000 (multiplicity 1)
Cl 0.500 0.500 0.500 (multiplicity 1)

---

Number 1: final energy -0.6226 Ry per atom. Number 2: final energy -0.1591 Ry per atom.